This record from the Alexandria database describes a geometry-optimized ScAlRe2 structure. The functional is PBE.

Unit cell a=2.760 b=2.760 c=8.410 alpha=90.00 beta=90.00 gamma=90.00
Space group P4/mmm (No. 123)
Asymmetric unit:
Sc 0.000 0.000 0.000 (multiplicity 1)
Al 0.000 0.000 0.500 (multiplicity 1)
Re 0.500 0.500 0.269 (multiplicity 2)

Calculated values
Total moment, μB/f.u.: 0.00
VASP energy, eV per atom: -8.636
Energy of formation from the pure elements, eV/atom: 0.11

This record from the Alexandria database describes a geometry-optimized HfTeAsI2 structure. The functional is PBE.

Unit cell a=5.761 b=5.761 c=5.564 alpha=90.00 beta=90.00 gamma=90.00
Space group P4/mmm (No. 123)
Asymmetric unit:
Hf 0.000 0.000 0.000 (multiplicity 1)
Te 0.000 0.000 0.500 (multiplicity 1)
As 0.500 0.500 0.500 (multiplicity 1)
I 0.000 0.500 0.000 (multiplicity 2)

Calculated values
Relative energy among the computed polymorphs, meV/atom: 0
Total moment, μB/f.u.: 2.93
VASP energy, eV per atom: -4.025
Uncorrected formation energy, eV/atom: 0.144

This record from the Alexandria database describes a geometry-optimized CsTiSn2I8 structure. The functional is PBE.

Unit cell a=7.417 b=8.307 c=10.428 alpha=71.64 beta=78.99 gamma=75.03
Space group P-1 (No. 2)
Asymmetric unit:
Cs 0.000 0.000 0.000 (multiplicity 1)
Ti 0.000 0.000 0.500 (multiplicity 1)
Sn 0.445 0.426 0.240 (multiplicity 2)
I 0.141 0.725 0.734 (multiplicity 2)
I 0.247 0.829 0.329 (multiplicity 2)
I 0.266 0.192 0.499 (multiplicity 2)
I 0.433 0.253 0.034 (multiplicity 2)

Calculated values
Total moment, μB/f.u.: 1.00
VASP energy, eV per atom: -3.124
Uncorrected formation energy, eV/atom: -0.694

Question: Among the records above, which one has the lowest total moment?
Answer: ScAlRe2

Question: total moment of number 2 (HfTeAsI2)?
Answer: 2.93 μB/f.u.

Question: Among the records above, which one has the highest total moment?
Answer: HfTeAsI2